[1]
The following is a DFT calculation (PBE) of a relaxed structure of BeFePt2. Values from VASP.

Values from the calculation:
Formation energy in eV/atom: -0.254
Total magnetic moment in μB/f.u.: 3.448
Space-group type: No. 119

```
&SYSTEM
  ibrav = 0, nat = 4, ntyp = 3
/
ATOMIC_SPECIES
Be 9.01 Be.upf
Fe 55.84 Fe.upf
Pt 195.08 Pt.upf
CELL_PARAMETERS angstrom
-1.827 1.827 4.008
1.827 -1.827 4.008
1.827 1.827 -4.008
ATOMIC_POSITIONS crystal
Be 0.000 0.000 0.000
Fe 0.250 0.750 0.500
Pt 0.500 0.500 0.000
Pt 0.750 0.250 0.500
```

***

[2]
The following is a DFT calculation (PBE) of a relaxed structure of BeFePt. Values from VASP.

Values from the calculation:
Formation energy in eV/atom: -0.280
Total magnetic moment in μB/f.u.: 2.862
Space-group type: No. 156

```
&SYSTEM
  ibrav = 0, nat = 3, ntyp = 3
/
ATOMIC_SPECIES
Be 9.01 Be.upf
Fe 55.84 Fe.upf
Pt 195.08 Pt.upf
CELL_PARAMETERS angstrom
3.992 0.000 0.000
-1.996 3.457 0.000
0.000 0.000 2.686
ATOMIC_POSITIONS crystal
Be 0.000 0.000 0.000
Fe 0.667 0.333 0.499
Pt 0.333 0.667 0.998
```

***

[3]
The following is a DFT calculation (PBE) of a relaxed structure of Be4FePt. Values from VASP.

Values from the calculation:
Formation energy in eV/atom: -0.377
Total magnetic moment in μB/f.u.: 2.662
Space-group type: No. 216

```
&SYSTEM
  ibrav = 0, nat = 6, ntyp = 3
/
ATOMIC_SPECIES
Be 9.01 Be.upf
Fe 55.84 Fe.upf
Pt 195.08 Pt.upf
CELL_PARAMETERS angstrom
0.000 3.051 3.051
3.051 0.000 3.051
3.051 3.051 0.000
ATOMIC_POSITIONS crystal
Be 0.123 0.123 0.123
Be 0.123 0.123 0.630
Be 0.123 0.630 0.123
Be 0.630 0.123 0.123
Fe 0.750 0.750 0.750
Pt 0.500 0.500 0.500
```

***

[4]
The following is a DFT calculation (PBE) of a relaxed structure of BeFePt2. Values from VASP.

Values from the calculation:
Formation energy in eV/atom: -0.336
Total magnetic moment in μB/f.u.: 3.096
Space-group type: No. 1

```
&SYSTEM
  ibrav = 0, nat = 4, ntyp = 3
/
ATOMIC_SPECIES
Be 9.01 Be.upf
Fe 55.84 Fe.upf
Pt 195.08 Pt.upf
CELL_PARAMETERS angstrom
2.769 0.000 0.000
0.004 4.241 0.000
1.384 2.111 4.390
ATOMIC_POSITIONS crystal
Be 0.000 0.000 0.000
Fe 0.722 0.224 0.556
Pt 0.287 0.790 0.424
Pt 0.505 0.504 0.994
```

***

[5]
The following is a DFT calculation (PBE) of a relaxed structure of BeFePt3. Values from VASP.

Values from the calculation:
Formation energy in eV/atom: 1.130
Total magnetic moment in μB/f.u.: 3.765
Space-group type: No. 221

```
&SYSTEM
  ibrav = 0, nat = 5, ntyp = 3
/
ATOMIC_SPECIES
Be 9.01 Be.upf
Fe 55.84 Fe.upf
Pt 195.08 Pt.upf
CELL_PARAMETERS angstrom
4.566 0.000 0.000
0.000 4.566 0.000
0.000 0.000 4.566
ATOMIC_POSITIONS crystal
Be 0.000 0.000 0.000
Fe 0.500 0.500 0.500
Pt 0.000 0.500 0.500
Pt 0.500 0.000 0.500
Pt 0.500 0.500 0.000
```

***

[6]
The following is a DFT calculation (PBE) of a relaxed structure of BeFePt. Values from VASP.

Values from the calculation:
Formation energy in eV/atom: -0.238
Total magnetic moment in μB/f.u.: 2.690
Space-group type: No. 1

```
&SYSTEM
  ibrav = 0, nat = 6, ntyp = 3
/
ATOMIC_SPECIES
Be 9.01 Be.upf
Fe 55.84 Fe.upf
Pt 195.08 Pt.upf
CELL_PARAMETERS angstrom
4.387 0.000 0.000
2.147 3.859 0.000
1.139 0.849 4.319
ATOMIC_POSITIONS crystal
Be 0.000 0.000 0.000
Be 0.329 0.346 0.946
Fe 0.417 0.882 0.485
Fe 0.769 0.182 0.535
Pt 0.114 0.545 0.420
Pt 0.681 0.636 0.984
```